[1]
The following is a PBE-GGA calculation of crystalline Li4Ag2Hg at its relaxed geometry, from Alexandria via LeMat-Bulk.

Computed properties:
- E_form: -0.19 eV/atom
- Distance to the lowest polymorph of the same formula: 0.0 kJ/mol of atoms
- Final energy: -14.96 eV for the cell shown

Cell: 4.384 4.384 7.454 Å, 107.10 107.10 90.00°
Fractional coordinates of all 7 atoms:
Li 0.125 0.625 0.251
Li 0.375 0.875 0.749
Li 0.625 0.125 0.251
Li 0.875 0.375 0.749
Hg 0.000 0.000 0.000
Ag 0.755 0.755 0.510
Ag 0.245 0.245 0.490

***

[2]
The following is a PBE-GGA calculation of crystalline LiAgHg4 at its relaxed geometry, from Alexandria via LeMat-Bulk.

Computed properties:
- E_form: -0.09 eV/atom
- Distance to the lowest polymorph of the same formula: 0.0 kJ/mol of atoms
- Final energy: -13.00 eV for the cell shown

Cell: 3.377 10.765 10.741 Å, 138.66 90.00 90.00°
Fractional coordinates of all 12 atoms:
Hg 0.500 0.160 0.322
Hg 0.501 0.318 0.164
Hg 0.000 0.340 0.678
Hg 0.500 0.840 0.678
Hg 0.001 0.182 0.836
Hg 0.499 0.682 0.836
Hg 0.999 0.818 0.164
Hg 0.000 0.660 0.322
Ag 0.500 0.000 0.500
Ag 0.000 0.500 0.500
Li 0.000 0.000 0.000
Li 0.500 0.500 0.000

***

[3]
The following is a PBE-GGA calculation of crystalline Li4Ag2Hg at its relaxed geometry, from Alexandria via LeMat-Bulk.

Computed properties:
- E_form: -0.15 eV/atom
- Distance to the lowest polymorph of the same formula: 3.4 kJ/mol of atoms
- Final energy: -29.43 eV for the cell shown

Cell: 6.887 6.887 6.887 Å, 109.65 109.11 109.65°
Fractional coordinates of all 14 atoms:
Li 0.279 0.252 0.868
Li 0.618 0.752 0.529
Li 0.615 0.748 0.026
Li 0.471 0.089 0.224
Li 0.135 0.911 0.382
Li 0.974 0.589 0.721
Li 0.132 0.411 0.385
Li 0.776 0.248 0.865
Ag 0.245 0.620 0.125
Ag 0.875 0.120 0.495
Ag 0.505 0.380 0.625
Ag 0.375 0.880 0.755
Hg 0.750 0.500 0.250
Hg 0.000 0.000 0.000

***

[4]
The following is a PBE-GGA calculation of crystalline Li4Ag2Hg5 at its relaxed geometry, from Alexandria via LeMat-Bulk.

Computed properties:
- E_form: -0.18 eV/atom
- Distance to the lowest polymorph of the same formula: 0.0 kJ/mol of atoms
- Final energy: -16.88 eV for the cell shown

Cell: 3.393 6.844 9.783 Å, 98.71 99.98 90.00°
Fractional coordinates of all 11 atoms:
Hg 0.500 0.000 0.000
Hg 0.178 0.464 0.357
Hg 0.140 0.008 0.280
Hg 0.822 0.536 0.643
Hg 0.860 0.992 0.720
Ag 0.572 0.637 0.143
Ag 0.428 0.363 0.857
Li 0.722 0.804 0.444
Li 0.038 0.318 0.075
Li 0.962 0.682 0.925
Li 0.278 0.196 0.556

***

[5]
The following is a PBE-GGA calculation of crystalline LiAgHg2 at its relaxed geometry, from Alexandria via LeMat-Bulk.

Computed properties:
- E_form: -0.14 eV/atom
- Final energy: -5.95 eV for the cell shown

Cell: 4.811 3.135 5.226 Å, 89.99 90.00 90.00°
Fractional coordinates of all 4 atoms:
Hg 0.500 0.125 0.309
Hg 0.000 0.126 0.949
Ag 0.500 0.626 0.789
Li 0.000 0.624 0.454

***

[6]
The following is a PBE-GGA calculation of crystalline LiAgHg5 at its relaxed geometry, from Alexandria via LeMat-Bulk.

Computed properties:
- E_form: -0.03 eV/atom
- Final energy: -12.98 eV for the cell shown

Cell: 8.401 8.401 8.670 Å, 49.65 49.65 76.44°
Fractional coordinates of all 14 atoms:
Hg 0.323 0.107 0.969
Hg 0.794 0.458 0.377
Hg 0.458 0.794 0.877
Hg 0.893 0.677 0.531
Hg 0.677 0.893 0.031
Hg 0.822 0.178 0.250
Hg 0.206 0.542 0.623
Hg 0.107 0.323 0.469
Hg 0.542 0.206 0.123
Hg 0.178 0.822 0.750
Li 0.000 0.000 0.000
Li 0.000 0.000 0.500
Ag 0.457 0.543 0.750
Ag 0.543 0.457 0.250

***

[7]
The following is a PBE-GGA calculation of crystalline LiAgHg2 at its relaxed geometry, from Alexandria via LeMat-Bulk.

Computed properties:
- E_form: -0.14 eV/atom
- Final energy: -5.94 eV for the cell shown

Cell: 5.388 5.388 4.824 Å, 73.49 73.49 36.52°
Fractional coordinates of all 4 atoms:
Ag 0.238 0.238 0.242
Li 0.504 0.504 0.513
Hg 0.763 0.763 0.717
Hg 0.994 0.994 0.029

***

[8]
The following is a PBE-GGA calculation of crystalline LiAgHg2 at its relaxed geometry, from Alexandria via LeMat-Bulk.

Computed properties:
- E_form: -0.17 eV/atom
- Final energy: -6.03 eV for the cell shown

Cell: 3.814 3.204 7.117 Å, 63.89 90.00 90.00°
Fractional coordinates of all 4 atoms:
Ag 0.500 0.750 0.750
Hg 0.000 0.510 0.489
Hg 0.000 0.990 0.011
Li 0.500 0.250 0.250

***

[9]
The following is a PBE-GGA calculation of crystalline LiAg8Hg6 at its relaxed geometry, from Alexandria via LeMat-Bulk.

Computed properties:
- E_form: 0.05 eV/atom
- Final energy: -25.82 eV for the cell shown

Cell: 8.049 8.049 7.404 Å, 57.07 57.07 60.00°
Fractional coordinates of all 15 atoms:
Hg 0.398 0.027 0.862
Hg 0.712 0.398 0.862
Hg 0.288 0.602 0.138
Hg 0.027 0.712 0.862
Hg 0.973 0.288 0.138
Hg 0.602 0.973 0.138
Ag 0.217 0.852 0.365
Ag 0.783 0.148 0.635
Ag 0.189 0.189 0.434
Ag 0.148 0.435 0.635
Ag 0.811 0.811 0.566
Ag 0.852 0.565 0.365
Ag 0.435 0.783 0.635
Ag 0.565 0.217 0.365
Li 0.000 0.000 0.000

***

[10]
The following is a PBE-GGA calculation of crystalline LiAg2Hg3 at its relaxed geometry, from Alexandria via LeMat-Bulk.

Computed properties:
- E_form: -0.05 eV/atom
- Distance to the lowest polymorph of the same formula: 3.6 kJ/mol of atoms
- Final energy: -17.65 eV for the cell shown

Cell: 5.970 6.009 7.757 Å, 101.56 112.63 90.00°
Fractional coordinates of all 12 atoms:
Ag 0.649 0.079 0.307
Ag 0.658 0.579 0.307
Ag 0.342 0.421 0.693
Ag 0.351 0.921 0.693
Li 0.233 0.250 0.000
Li 0.767 0.750 0.000
Hg 0.170 0.576 0.329
Hg 0.841 0.924 0.671
Hg 0.159 0.076 0.329
Hg 0.830 0.424 0.671
Hg 0.276 0.750 0.000
Hg 0.724 0.250 0.000

***

[11]
The following is a PBE-GGA calculation of crystalline LiAg2Hg at its relaxed geometry, from Alexandria via LeMat-Bulk.

Computed properties:
- E_form: -0.15 eV/atom
- Final energy: -8.53 eV for the cell shown

Cell: 5.122 5.122 5.122 Å, 132.22 132.02 70.04°
Fractional coordinates of all 4 atoms:
Ag 0.500 0.500 0.000
Ag 0.000 0.000 0.000
Hg 0.750 0.250 0.500
Li 0.250 0.750 0.500

***

[12]
The following is a PBE-GGA calculation of crystalline LiAg2Hg at its relaxed geometry, from Alexandria via LeMat-Bulk.

Computed properties:
- E_form: -0.15 eV/atom
- Final energy: -8.52 eV for the cell shown

Cell: 4.189 4.189 4.145 Å, 90.00 90.00 90.13°
Fractional coordinates of all 4 atoms:
Ag 0.500 0.500 0.000
Ag 0.000 0.000 0.000
Hg 0.500 0.000 0.500
Li 0.000 0.500 0.500

***

[13]
The following is a PBE-GGA calculation of crystalline Li3Ag8Hg2 at its relaxed geometry, from Alexandria via LeMat-Bulk.

Computed properties:
- E_form: -0.01 eV/atom
- Final energy: -29.22 eV for the cell shown

Cell: 5.488 5.488 10.531 Å, 74.90 74.90 60.00°
Fractional coordinates of all 13 atoms:
Hg 0.360 0.360 0.920
Hg 0.640 0.640 0.080
Ag 0.275 0.275 0.674
Ag 0.725 0.224 0.326
Ag 0.725 0.725 0.326
Ag 0.268 0.268 0.195
Ag 0.776 0.275 0.674
Ag 0.224 0.725 0.326
Ag 0.275 0.776 0.674
Ag 0.732 0.732 0.805
Li 0.000 0.000 0.000
Li 0.183 0.183 0.450
Li 0.817 0.817 0.550

***

[14]
The following is a PBE-GGA calculation of crystalline Li3AgHg6 at its relaxed geometry, from Alexandria via LeMat-Bulk.

Computed properties:
- E_form: -0.16 eV/atom
- Distance to the lowest polymorph of the same formula: 4.3 kJ/mol of atoms
- Final energy: -24.07 eV for the cell shown

Cell: 7.612 7.612 7.612 Å, 93.20 93.20 93.20°
Fractional coordinates of all 20 atoms:
Li 0.726 0.246 0.871
Li 0.871 0.726 0.246
Li 0.246 0.871 0.726
Li 0.754 0.129 0.274
Li 0.274 0.754 0.129
Li 0.129 0.274 0.754
Hg 0.392 0.554 0.845
Hg 0.634 0.865 0.974
Hg 0.554 0.845 0.392
Hg 0.366 0.135 0.026
Hg 0.026 0.366 0.135
Hg 0.135 0.026 0.366
Hg 0.155 0.608 0.446
Hg 0.974 0.634 0.865
Hg 0.845 0.392 0.554
Hg 0.446 0.155 0.608
Hg 0.865 0.974 0.634
Hg 0.608 0.446 0.155
Ag 0.500 0.500 0.500
Ag 0.000 0.000 0.000

***

[15]
The following is a PBE-GGA calculation of crystalline Li2Ag3Hg3 at its relaxed geometry, from Alexandria via LeMat-Bulk.

Computed properties:
- E_form: -0.15 eV/atom
- Distance to the lowest polymorph of the same formula: 0.0 kJ/mol of atoms
- Final energy: -14.51 eV for the cell shown

Cell: 4.709 4.709 8.332 Å, 73.58 73.58 60.00°
Fractional coordinates of all 8 atoms:
Hg 0.370 0.370 0.889
Hg 0.877 0.877 0.368
Hg 0.126 0.126 0.622
Li 0.999 0.999 0.002
Li 0.501 0.501 0.497
Ag 0.626 0.626 0.121
Ag 0.250 0.250 0.249
Ag 0.749 0.749 0.752

***

[16]
The following is a PBE-GGA calculation of crystalline LiAg6Hg2 at its relaxed geometry, from Alexandria via LeMat-Bulk.

Computed properties:
- E_form: -0.02 eV/atom
- Distance to the lowest polymorph of the same formula: 0.0 kJ/mol of atoms
- Final energy: -39.54 eV for the cell shown

Cell: 7.352 7.613 7.352 Å, 65.25 85.73 65.25°
Fractional coordinates of all 18 atoms:
Ag 0.084 0.871 0.369
Ag 0.201 0.820 0.997
Ag 0.631 0.629 0.916
Ag 0.799 0.180 0.003
Ag 0.323 0.969 0.586
Ag 0.997 0.320 0.201
Ag 0.369 0.371 0.084
Ag 0.414 0.531 0.677
Ag 0.677 0.031 0.414
Ag 0.003 0.680 0.799
Ag 0.916 0.129 0.631
Ag 0.586 0.469 0.323
Li 0.145 0.250 0.855
Li 0.855 0.750 0.145
Hg 0.206 0.431 0.434
Hg 0.794 0.569 0.566
Hg 0.566 0.069 0.794
Hg 0.434 0.931 0.206

***

[17]
The following is a PBE-GGA calculation of crystalline Li12Ag6Hg at its relaxed geometry, from Alexandria via LeMat-Bulk.

Computed properties:
- E_form: -0.20 eV/atom
- Distance to the lowest polymorph of the same formula: 0.0 kJ/mol of atoms
- Final energy: -44.23 eV for the cell shown

Cell: 7.066 7.573 7.573 Å, 69.21 71.88 108.12°
Fractional coordinates of all 19 atoms:
Li 0.796 0.275 0.884
Li 0.320 0.116 0.158
Li 0.204 0.725 0.116
Li 0.680 0.884 0.842
Li 0.255 0.429 0.628
Li 0.117 0.372 0.056
Li 0.173 0.056 0.571
Li 0.745 0.571 0.372
Li 0.479 0.158 0.725
Li 0.521 0.842 0.275
Li 0.827 0.944 0.429
Li 0.883 0.628 0.944
Ag 0.952 0.307 0.480
Ag 0.569 0.520 0.786
Ag 0.355 0.786 0.693
Ag 0.645 0.214 0.307
Ag 0.431 0.480 0.214
Ag 0.048 0.693 0.520
Hg 0.000 0.000 0.000

***

[18]
The following is a PBE-GGA calculation of crystalline Li2Ag15Hg2 at its relaxed geometry, from Alexandria via LeMat-Bulk.

Computed properties:
- E_form: 0.06 eV/atom
- Final energy: -46.11 eV for the cell shown

Cell: 7.313 7.313 7.313 Å, 81.26 81.26 81.26°
Fractional coordinates of all 19 atoms:
Ag 0.321 0.679 0.000
Ag 0.338 0.338 0.836
Ag 0.321 0.000 0.679
Ag 0.164 0.662 0.662
Ag 0.662 0.662 0.164
Ag 0.000 0.000 0.500
Ag 0.662 0.164 0.662
Ag 0.500 0.000 0.000
Ag 0.679 0.000 0.321
Ag 0.679 0.321 0.000
Ag 0.000 0.321 0.679
Ag 0.000 0.500 0.000
Ag 0.836 0.338 0.338
Ag 0.000 0.679 0.321
Ag 0.338 0.836 0.338
Hg 0.632 0.632 0.632
Hg 0.368 0.368 0.368
Li 0.105 0.105 0.105
Li 0.895 0.895 0.895

***

[19]
The following is a PBE-GGA calculation of crystalline LiAg2Hg at its relaxed geometry, from Alexandria via LeMat-Bulk.

Computed properties:
- E_form: -0.02 eV/atom
- Final energy: -15.99 eV for the cell shown

Cell: 3.987 3.987 10.484 Å, 79.04 79.04 90.00°
Fractional coordinates of all 8 atoms:
Ag 0.875 0.873 0.750
Ag 0.623 0.125 0.250
Ag 0.127 0.625 0.250
Ag 0.375 0.377 0.750
Hg 0.750 0.250 0.500
Hg 0.000 0.000 0.000
Li 0.500 0.500 0.000
Li 0.250 0.750 0.500

***

[20]
The following is a PBE-GGA calculation of crystalline LiAg8Hg2 at its relaxed geometry, from Alexandria via LeMat-Bulk.

Computed properties:
- E_form: 0.02 eV/atom
- Distance to the lowest polymorph of the same formula: 0.0 kJ/mol of atoms
- Final energy: -25.09 eV for the cell shown

Cell: 4.040 8.890 7.662 Å, 125.46 105.29 90.00°
Fractional coordinates of all 11 atoms:
Ag 0.666 0.923 0.331
Ag 0.000 0.773 0.000
Ag 0.173 0.173 0.346
Ag 0.666 0.409 0.331
Ag 0.000 0.227 0.000
Ag 0.334 0.077 0.669
Ag 0.827 0.827 0.654
Ag 0.334 0.591 0.669
Li 0.500 0.000 0.000
Hg 0.863 0.363 0.726
Hg 0.137 0.637 0.274